Entry from the Alexandria database: Cu3PdAu12 after structural relaxation (PBE-GGA).

Energy: -3.575 eV/atom
Formation energy: -25 meV per atom
Crystal system: tetragonal
Symmetry: P4/mmm (123)

```
data_Cu3PdAu12
_chemical_formula_sum 'Cu3 Pd1 Au12'
_symmetry_space_group_name_H-M 'P 1'
_symmetry_Int_Tables_number 1
_cell_length_a 4.060
_cell_length_b 4.060
_cell_length_c 16.393
_cell_angle_alpha 90.00
_cell_angle_beta 90.00
_cell_angle_gamma 90.00
loop_
_symmetry_equiv_pos_as_xyz
'x,y,z'
loop_
_atom_site_label
_atom_site_type_symbol
_atom_site_fract_x
_atom_site_fract_y
_atom_site_fract_z
_atom_site_occupancy
Pd1 Pd 0.000 0.000 0.000 1
Au1 Au 0.500 0.500 0.000 1
Au2 Au 0.500 0.500 0.252 1
Cu1 Cu 0.000 0.000 0.749 1
Au3 Au 0.000 0.500 0.624 1
Au4 Au 0.000 0.500 0.376 1
Au5 Au 0.000 0.500 0.128 1
Cu2 Cu 0.000 0.000 0.251 1
Au6 Au 0.500 0.000 0.128 1
Au7 Au 0.500 0.000 0.376 1
Au8 Au 0.500 0.000 0.872 1
Cu3 Cu 0.000 0.000 0.500 1
Au9 Au 0.500 0.500 0.748 1
Au10 Au 0.500 0.000 0.624 1
Au11 Au 0.500 0.500 0.500 1
Au12 Au 0.000 0.500 0.872 1
```